# BaLiAl2 PBE-GGA optimized geometry
data_BaLiAl2
_chemical_formula_sum 'Ba1 Li1 Al2'
_cell_length_a 3.5331
_cell_length_b 3.5331
_cell_length_c 8.0476
_cell_angle_alpha 90.00
_cell_angle_beta 90.00
_cell_angle_gamma 90.00
_symmetry_space_group_name_H-M 'P 1'
_symmetry_Int_Tables_number 1
loop_
_symmetry_equiv_pos_as_xyz
'x,y,z'
loop_
_atom_site_label
_atom_site_type_symbol
_atom_site_fract_x
_atom_site_fract_y
_atom_site_fract_z
Ba1 Ba 0.0000 0.0000 0.0000
Li1 Li 0.5000 0.5000 0.3440
Al1 Al 0.0000 0.0000 0.5156
Al2 Al 0.5000 0.5000 0.6937
# relative energy among the computed polymorphs: 0.215 eV per atom
# symmetry: No. 99
# total magnetic moment: 0.00 μB per atom
# formation energy: 0.1 eV per formula unit



# Cs2CuI3Cl PBE-GGA optimized geometry
data_Cs2CuI3Cl
_chemical_formula_sum 'Cs4 Cu2 I6 Cl2'
_cell_length_a 5.4337
_cell_length_b 6.2985
_cell_length_c 17.7250
_cell_angle_alpha 90.00
_cell_angle_beta 90.00
_cell_angle_gamma 90.00
_symmetry_space_group_name_H-M 'P 1'
_symmetry_Int_Tables_number 1
loop_
_symmetry_equiv_pos_as_xyz
'x,y,z'
loop_
_atom_site_label
_atom_site_type_symbol
_atom_site_fract_x
_atom_site_fract_y
_atom_site_fract_z
Cs1 Cs 0.0000 0.0000 0.1266
Cs2 Cs 0.0000 0.0000 0.8734
Cs3 Cs 0.5000 0.5000 0.3734
Cs4 Cs 0.5000 0.5000 0.6266
Cu1 Cu 0.0000 0.0000 0.5000
Cu2 Cu 0.5000 0.5000 0.0000
I1 I 0.0000 0.0000 0.3532
I2 I 0.0000 0.0000 0.6468
I3 I 0.0000 0.5000 0.0000
I4 I 0.5000 0.0000 0.5000
I5 I 0.5000 0.5000 0.1468
I6 I 0.5000 0.5000 0.8532
Cl1 Cl 0.0000 0.5000 0.5000
Cl2 Cl 0.5000 0.0000 0.0000
# symmetry: No. 71
# total magnetic moment: 0.00 μB per atom
# ΔE_f (raw): -1.00 eV/atom



# BaTiGa3 PBE-GGA optimized geometry
data_BaTiGa3
_chemical_formula_sum 'Ba1 Ti1 Ga3'
_cell_length_a 5.0924
_cell_length_b 5.0924
_cell_length_c 5.0924
_cell_angle_alpha 90.00
_cell_angle_beta 90.00
_cell_angle_gamma 90.00
_symmetry_space_group_name_H-M 'P 1'
_symmetry_Int_Tables_number 1
loop_
_symmetry_equiv_pos_as_xyz
'x,y,z'
loop_
_atom_site_label
_atom_site_type_symbol
_atom_site_fract_x
_atom_site_fract_y
_atom_site_fract_z
Ba1 Ba 0.0000 0.0000 0.0000
Ti1 Ti 0.5000 0.5000 0.5000
Ga1 Ga 0.0000 0.5000 0.5000
Ga2 Ga 0.5000 0.0000 0.5000
Ga3 Ga 0.5000 0.5000 0.0000
# relative energy among the computed polymorphs: 0.000 eV per atom
# symmetry: No. 221
# total magnetic moment: 0.20 μB per atom
# formation energy: -1.0 eV per formula unit



# HfScBe17 PBE-GGA optimized geometry
data_HfScBe17
_chemical_formula_sum 'Hf1 Sc1 Be17'
_cell_length_a 5.6586
_cell_length_b 5.6586
_cell_length_c 5.6586
_cell_angle_alpha 82.98
_cell_angle_beta 82.98
_cell_angle_gamma 82.98
_symmetry_space_group_name_H-M 'P 1'
_symmetry_Int_Tables_number 1
loop_
_symmetry_equiv_pos_as_xyz
'x,y,z'
loop_
_atom_site_label
_atom_site_type_symbol
_atom_site_fract_x
_atom_site_fract_y
_atom_site_fract_z
Hf1 Hf 0.0000 0.0000 0.0000
Sc1 Sc 0.3245 0.3245 0.3245
Be1 Be 0.0052 0.0052 0.5037
Be2 Be 0.0052 0.5037 0.0052
Be3 Be 0.1613 0.6650 0.6650
Be4 Be 0.3196 0.3196 0.8208
Be5 Be 0.3196 0.8208 0.3196
Be6 Be 0.3746 0.6620 0.9506
Be7 Be 0.3746 0.9506 0.6620
Be8 Be 0.5037 0.0052 0.0052
Be9 Be 0.5658 0.5658 0.5658
Be10 Be 0.6620 0.3746 0.9506
Be11 Be 0.6620 0.9506 0.3746
Be12 Be 0.6650 0.1613 0.6650
Be13 Be 0.6650 0.6650 0.1613
Be14 Be 0.7601 0.7601 0.7601
Be15 Be 0.8208 0.3196 0.3196
Be16 Be 0.9506 0.3746 0.6620
Be17 Be 0.9506 0.6620 0.3746
# symmetry: No. 160
# total magnetic moment: 0.00 μB per atom
# formation energy: -4.1 eV per formula unit



# Ba5MgZn2 PBE-GGA optimized geometry
data_Ba5MgZn2
_chemical_formula_sum 'Ba10 Mg2 Zn4'
_cell_length_a 10.4395
_cell_length_b 10.4395
_cell_length_c 10.4395
_cell_angle_alpha 126.69
_cell_angle_beta 126.69
_cell_angle_gamma 78.76
_symmetry_space_group_name_H-M 'P 1'
_symmetry_Int_Tables_number 1
loop_
_symmetry_equiv_pos_as_xyz
'x,y,z'
loop_
_atom_site_label
_atom_site_type_symbol
_atom_site_fract_x
_atom_site_fract_y
_atom_site_fract_z
Ba1 Ba 0.0000 0.0000 0.0000
Ba2 Ba 0.0270 0.5270 0.8298
Ba3 Ba 0.1972 0.0270 0.5000
Ba4 Ba 0.3028 0.8028 0.8298
Ba5 Ba 0.4730 0.3028 0.5000
Ba6 Ba 0.5000 0.5000 0.0000
Ba7 Ba 0.5270 0.6972 0.5000
Ba8 Ba 0.6972 0.1972 0.1702
Ba9 Ba 0.8028 0.9730 0.5000
Ba10 Ba 0.9730 0.4730 0.1702
Mg1 Mg 0.2500 0.2500 0.0000
Mg2 Mg 0.7500 0.7500 0.0000
Zn1 Zn 0.1160 0.3840 0.5000
Zn2 Zn 0.3840 0.8840 0.2681
Zn3 Zn 0.6160 0.1160 0.7319
Zn4 Zn 0.8840 0.6160 0.5000
# symmetry: No. 140
# total magnetic moment: 0.00 μB per atom
# formation energy: -0.6 eV per formula unit



# LiZrBr PBE-GGA optimized geometry
data_LiZrBr
_chemical_formula_sum 'Li4 Zr4 Br4'
_cell_length_a 3.6137
_cell_length_b 3.4417
_cell_length_c 21.4572
_cell_angle_alpha 90.00
_cell_angle_beta 90.00
_cell_angle_gamma 90.00
_symmetry_space_group_name_H-M 'P 1'
_symmetry_Int_Tables_number 1
loop_
_symmetry_equiv_pos_as_xyz
'x,y,z'
loop_
_atom_site_label
_atom_site_type_symbol
_atom_site_fract_x
_atom_site_fract_y
_atom_site_fract_z
Li1 Li 0.0000 0.0000 0.0000
Li2 Li 0.0000 0.5000 0.5000
Li3 Li 0.5000 0.0000 0.3358
Li4 Li 0.5000 0.5000 0.8358
Zr1 Zr 0.0000 0.0000 0.1802
Zr2 Zr 0.0000 0.5000 0.6802
Zr3 Zr 0.5000 0.0000 0.5995
Zr4 Zr 0.5000 0.5000 0.0995
Br1 Br 0.0000 0.0000 0.8055
Br2 Br 0.0000 0.5000 0.3055
Br3 Br 0.5000 0.0000 0.4592
Br4 Br 0.5000 0.5000 0.9592
# relative energy among the computed polymorphs: 0.077 eV per atom
# symmetry: No. 38
# total magnetic moment: 0.00 μB per atom
# ΔE_f (raw): -0.67 eV/atom



# SiNiP4 PBE-GGA optimized geometry
data_SiNiP4
_chemical_formula_sum 'Si1 Ni1 P4'
_cell_length_a 4.9804
_cell_length_b 4.9804
_cell_length_c 4.9804
_cell_angle_alpha 60.00
_cell_angle_beta 60.00
_cell_angle_gamma 60.00
_symmetry_space_group_name_H-M 'P 1'
_symmetry_Int_Tables_number 1
loop_
_symmetry_equiv_pos_as_xyz
'x,y,z'
loop_
_atom_site_label
_atom_site_type_symbol
_atom_site_fract_x
_atom_site_fract_y
_atom_site_fract_z
Si1 Si 0.0000 0.0000 0.0000
Ni1 Ni 0.7500 0.7500 0.7500
P1 P 0.3752 0.3752 0.3752
P2 P 0.3752 0.3752 0.8745
P3 P 0.3752 0.8745 0.3752
P4 P 0.8745 0.3752 0.3752
# symmetry: No. 216
# total magnetic moment: 0.02 μB per atom
# ΔE_f (raw): 0.78 eV/atom



# TlGa2Sn PBE-GGA optimized geometry
data_TlGa2Sn
_chemical_formula_sum 'Tl4 Ga8 Sn4'
_cell_length_a 7.3418
_cell_length_b 7.3418
_cell_length_c 7.3418
_cell_angle_alpha 90.00
_cell_angle_beta 90.00
_cell_angle_gamma 90.00
_symmetry_space_group_name_H-M 'P 1'
_symmetry_Int_Tables_number 1
loop_
_symmetry_equiv_pos_as_xyz
'x,y,z'
loop_
_atom_site_label
_atom_site_type_symbol
_atom_site_fract_x
_atom_site_fract_y
_atom_site_fract_z
Tl1 Tl 0.0000 0.0000 0.0000
Tl2 Tl 0.0000 0.5000 0.5000
Tl3 Tl 0.5000 0.0000 0.5000
Tl4 Tl 0.5000 0.5000 0.0000
Ga1 Ga 0.2500 0.2500 0.2500
Ga2 Ga 0.2500 0.2500 0.7500
Ga3 Ga 0.2500 0.7500 0.2500
Ga4 Ga 0.2500 0.7500 0.7500
Ga5 Ga 0.7500 0.2500 0.2500
Ga6 Ga 0.7500 0.2500 0.7500
Ga7 Ga 0.7500 0.7500 0.2500
Ga8 Ga 0.7500 0.7500 0.7500
Sn1 Sn 0.0000 0.0000 0.5000
Sn2 Sn 0.0000 0.5000 0.0000
Sn3 Sn 0.5000 0.0000 0.0000
Sn4 Sn 0.5000 0.5000 0.5000
# relative energy among the computed polymorphs: 0.021 eV per atom
# symmetry: No. 225
# total magnetic moment: 0.00 μB per atom
# formation energy: 0.3 eV per formula unit



# Co3GePd PBE-GGA optimized geometry
data_Co3GePd
_chemical_formula_sum 'Co3 Ge1 Pd1'
_cell_length_a 4.5608
_cell_length_b 4.5608
_cell_length_c 4.5608
_cell_angle_alpha 90.00
_cell_angle_beta 90.00
_cell_angle_gamma 90.00
_symmetry_space_group_name_H-M 'P 1'
_symmetry_Int_Tables_number 1
loop_
_symmetry_equiv_pos_as_xyz
'x,y,z'
loop_
_atom_site_label
_atom_site_type_symbol
_atom_site_fract_x
_atom_site_fract_y
_atom_site_fract_z
Co1 Co 0.0000 0.0000 0.5000
Co2 Co 0.0000 0.5000 0.0000
Co3 Co 0.5000 0.0000 0.0000
Ge1 Ge 0.5000 0.5000 0.5000
Pd1 Pd 0.0000 0.0000 0.0000
# relative energy among the computed polymorphs: 0.462 eV per atom
# symmetry: No. 221
# total magnetic moment: 1.26 μB per atom
# formation energy: 6.7 eV per formula unit



# OsWCl2 PBE-GGA optimized geometry
data_OsWCl2
_chemical_formula_sum 'Os1 W1 Cl2'
_cell_length_a 2.8411
_cell_length_b 3.9776
_cell_length_c 5.5771
_cell_angle_alpha 90.00
_cell_angle_beta 90.00
_cell_angle_gamma 90.00
_symmetry_space_group_name_H-M 'P 1'
_symmetry_Int_Tables_number 1
loop_
_symmetry_equiv_pos_as_xyz
'x,y,z'
loop_
_atom_site_label
_atom_site_type_symbol
_atom_site_fract_x
_atom_site_fract_y
_atom_site_fract_z
Os1 Os 0.0000 0.0000 0.0000
W1 W 0.0000 0.0000 0.5000
Cl1 Cl 0.5000 0.5000 0.2566
Cl2 Cl 0.5000 0.5000 0.7434
# relative energy among the computed polymorphs: 1.713 eV per atom
# symmetry: No. 47
# total magnetic moment: 0.00 μB per atom
# ΔE_f (raw): 1.59 eV/atom



# LiAcI4 PBE-GGA optimized geometry
data_LiAcI4
_chemical_formula_sum 'Li2 Ac2 I8'
_cell_length_a 9.1621
_cell_length_b 7.5155
_cell_length_c 9.0160
_cell_angle_alpha 90.00
_cell_angle_beta 119.31
_cell_angle_gamma 90.00
_symmetry_space_group_name_H-M 'P 1'
_symmetry_Int_Tables_number 1
loop_
_symmetry_equiv_pos_as_xyz
'x,y,z'
loop_
_atom_site_label
_atom_site_type_symbol
_atom_site_fract_x
_atom_site_fract_y
_atom_site_fract_z
Li1 Li 0.0000 0.0000 0.0000
Li2 Li 0.0000 0.5000 0.5000
Ac1 Ac 0.5000 0.0000 0.0000
Ac2 Ac 0.5000 0.5000 0.5000
I1 I 0.1583 0.2260 0.8583
I2 I 0.1583 0.2740 0.3583
I3 I 0.3108 0.7459 0.6571
I4 I 0.3108 0.7541 0.1571
I5 I 0.6892 0.2459 0.8429
I6 I 0.6892 0.2541 0.3429
I7 I 0.8417 0.7260 0.6417
I8 I 0.8417 0.7740 0.1417
# relative energy among the computed polymorphs: 0.020 eV per atom
# symmetry: No. 14
# total magnetic moment: 0.00 μB per atom
# ΔE_f (raw): -1.37 eV/atom



# Na2Zn2GaAg5 PBE-GGA optimized geometry
data_Na2Zn2GaAg5
_chemical_formula_sum 'Na4 Zn4 Ga2 Ag10'
_cell_length_a 11.2754
_cell_length_b 11.2754
_cell_length_c 3.0667
_cell_angle_alpha 90.00
_cell_angle_beta 90.00
_cell_angle_gamma 90.00
_symmetry_space_group_name_H-M 'P 1'
_symmetry_Int_Tables_number 1
loop_
_symmetry_equiv_pos_as_xyz
'x,y,z'
loop_
_atom_site_label
_atom_site_type_symbol
_atom_site_fract_x
_atom_site_fract_y
_atom_site_fract_z
Na1 Na 0.1725 0.3275 0.0000
Na2 Na 0.3275 0.8275 0.0000
Na3 Na 0.6725 0.1725 0.0000
Na4 Na 0.8275 0.6725 0.0000
Zn1 Zn 0.1330 0.6330 0.0000
Zn2 Zn 0.3670 0.1330 0.0000
Zn3 Zn 0.6330 0.8670 0.0000
Zn4 Zn 0.8670 0.3670 0.0000
Ga1 Ga 0.0000 0.0000 0.0000
Ga2 Ga 0.5000 0.5000 0.0000
Ag1 Ag 0.0000 0.5000 0.5000
Ag2 Ag 0.0592 0.8112 0.5000
Ag3 Ag 0.1888 0.0592 0.5000
Ag4 Ag 0.3112 0.5592 0.5000
Ag5 Ag 0.4408 0.3112 0.5000
Ag6 Ag 0.5000 0.0000 0.5000
Ag7 Ag 0.5592 0.6888 0.5000
Ag8 Ag 0.6888 0.4408 0.5000
Ag9 Ag 0.8112 0.9408 0.5000
Ag10 Ag 0.9408 0.1888 0.5000
# symmetry: No. 127
# total magnetic moment: 0.00 μB per atom
# formation energy: -0.3 eV per formula unit



Copy entry 9 word for word.
# Co3GePd PBE-GGA optimized geometry
data_Co3GePd
_chemical_formula_sum 'Co3 Ge1 Pd1'
_cell_length_a 4.5608
_cell_length_b 4.5608
_cell_length_c 4.5608
_cell_angle_alpha 90.00
_cell_angle_beta 90.00
_cell_angle_gamma 90.00
_symmetry_space_group_name_H-M 'P 1'
_symmetry_Int_Tables_number 1
loop_
_symmetry_equiv_pos_as_xyz
'x,y,z'
loop_
_atom_site_label
_atom_site_type_symbol
_atom_site_fract_x
_atom_site_fract_y
_atom_site_fract_z
Co1 Co 0.0000 0.0000 0.5000
Co2 Co 0.0000 0.5000 0.0000
Co3 Co 0.5000 0.0000 0.0000
Ge1 Ge 0.5000 0.5000 0.5000
Pd1 Pd 0.0000 0.0000 0.0000
# relative energy among the computed polymorphs: 0.462 eV per atom
# symmetry: No. 221
# total magnetic moment: 1.26 μB per atom
# formation energy: 6.7 eV per formula unit



What did the second record say?
# Cs2CuI3Cl PBE-GGA optimized geometry
data_Cs2CuI3Cl
_chemical_formula_sum 'Cs4 Cu2 I6 Cl2'
_cell_length_a 5.4337
_cell_length_b 6.2985
_cell_length_c 17.7250
_cell_angle_alpha 90.00
_cell_angle_beta 90.00
_cell_angle_gamma 90.00
_symmetry_space_group_name_H-M 'P 1'
_symmetry_Int_Tables_number 1
loop_
_symmetry_equiv_pos_as_xyz
'x,y,z'
loop_
_atom_site_label
_atom_site_type_symbol
_atom_site_fract_x
_atom_site_fract_y
_atom_site_fract_z
Cs1 Cs 0.0000 0.0000 0.1266
Cs2 Cs 0.0000 0.0000 0.8734
Cs3 Cs 0.5000 0.5000 0.3734
Cs4 Cs 0.5000 0.5000 0.6266
Cu1 Cu 0.0000 0.0000 0.5000
Cu2 Cu 0.5000 0.5000 0.0000
I1 I 0.0000 0.0000 0.3532
I2 I 0.0000 0.0000 0.6468
I3 I 0.0000 0.5000 0.0000
I4 I 0.5000 0.0000 0.5000
I5 I 0.5000 0.5000 0.1468
I6 I 0.5000 0.5000 0.8532
Cl1 Cl 0.0000 0.5000 0.5000
Cl2 Cl 0.5000 0.0000 0.0000
# symmetry: No. 71
# total magnetic moment: 0.00 μB per atom
# ΔE_f (raw): -1.00 eV/atom